Record 1
The following is a DFT calculation (PBE) of an optimized crystal structure of La7Nd12Al.

```
La7Nd12Al
1.0
8.680 1.696 -1.336
-1.778 8.664 -1.336
1.130 1.696 8.709
La Nd Al
7 12 1
direct
0.208 0.612 0.771
0.388 0.229 0.792
0.229 0.792 0.388
0.500 0.500 0.500
0.771 0.208 0.612
0.612 0.771 0.208
0.792 0.388 0.229
0.010 0.323 0.896
0.677 0.104 0.990
0.461 0.125 0.342
0.875 0.658 0.539
0.104 0.990 0.677
0.658 0.539 0.875
0.342 0.461 0.125
0.896 0.010 0.323
0.125 0.342 0.461
0.539 0.875 0.658
0.323 0.896 0.010
0.990 0.677 0.104
0.000 0.000 0.000
```

Output
Formation energy in eV/atom: 0.136
Symmetry: R-3, No. 148
Raw total energy in eV per atom: -4.64

---

Record 2
The following is a DFT calculation (PBE) of an optimized crystal structure of La3Nd3Al22.

```
La3Nd3Al22
1.0
8.508 -0.020 -0.031
7.363 4.262 -0.031
4.105 1.097 15.956
La Nd Al
3 3 22
direct
0.657 0.657 0.658
0.158 0.158 0.158
0.843 0.843 0.842
0.342 0.342 0.342
0.000 0.000 0.001
0.500 0.500 0.499
0.352 0.352 0.984
0.852 0.852 0.483
0.147 0.147 0.516
0.648 0.648 0.016
0.484 0.484 0.852
0.983 0.983 0.351
0.016 0.016 0.649
0.517 0.517 0.149
0.856 0.856 0.642
0.357 0.357 0.144
0.644 0.644 0.857
0.143 0.143 0.357
0.250 0.250 0.750
0.750 0.750 0.250
0.205 0.205 0.931
0.705 0.705 0.432
0.295 0.295 0.567
0.795 0.795 0.069
0.431 0.431 0.704
0.931 0.931 0.205
0.069 0.069 0.796
0.569 0.569 0.295
```

Output
Formation energy in eV/atom: -0.394
Symmetry: Cm, No. 8
Raw total energy in eV per atom: -4.37

---

Please write out number 2 again, unchanged.
The following is a DFT calculation (PBE) of an optimized crystal structure of La3Nd3Al22.

```
La3Nd3Al22
1.0
8.508 -0.020 -0.031
7.363 4.262 -0.031
4.105 1.097 15.956
La Nd Al
3 3 22
direct
0.657 0.657 0.658
0.158 0.158 0.158
0.843 0.843 0.842
0.342 0.342 0.342
0.000 0.000 0.001
0.500 0.500 0.499
0.352 0.352 0.984
0.852 0.852 0.483
0.147 0.147 0.516
0.648 0.648 0.016
0.484 0.484 0.852
0.983 0.983 0.351
0.016 0.016 0.649
0.517 0.517 0.149
0.856 0.856 0.642
0.357 0.357 0.144
0.644 0.644 0.857
0.143 0.143 0.357
0.250 0.250 0.750
0.750 0.750 0.250
0.205 0.205 0.931
0.705 0.705 0.432
0.295 0.295 0.567
0.795 0.795 0.069
0.431 0.431 0.704
0.931 0.931 0.205
0.069 0.069 0.796
0.569 0.569 0.295
```

Output
Formation energy in eV/atom: -0.394
Symmetry: Cm, No. 8
Raw total energy in eV per atom: -4.37

---

Copy entry 1 word for word.
The following is a DFT calculation (PBE) of an optimized crystal structure of La7Nd12Al.

```
La7Nd12Al
1.0
8.680 1.696 -1.336
-1.778 8.664 -1.336
1.130 1.696 8.709
La Nd Al
7 12 1
direct
0.208 0.612 0.771
0.388 0.229 0.792
0.229 0.792 0.388
0.500 0.500 0.500
0.771 0.208 0.612
0.612 0.771 0.208
0.792 0.388 0.229
0.010 0.323 0.896
0.677 0.104 0.990
0.461 0.125 0.342
0.875 0.658 0.539
0.104 0.990 0.677
0.658 0.539 0.875
0.342 0.461 0.125
0.896 0.010 0.323
0.125 0.342 0.461
0.539 0.875 0.658
0.323 0.896 0.010
0.990 0.677 0.104
0.000 0.000 0.000
```

Output
Formation energy in eV/atom: 0.136
Symmetry: R-3, No. 148
Raw total energy in eV per atom: -4.64

---

What did the second record say?
The following is a DFT calculation (PBE) of an optimized crystal structure of La3Nd3Al22.

```
La3Nd3Al22
1.0
8.508 -0.020 -0.031
7.363 4.262 -0.031
4.105 1.097 15.956
La Nd Al
3 3 22
direct
0.657 0.657 0.658
0.158 0.158 0.158
0.843 0.843 0.842
0.342 0.342 0.342
0.000 0.000 0.001
0.500 0.500 0.499
0.352 0.352 0.984
0.852 0.852 0.483
0.147 0.147 0.516
0.648 0.648 0.016
0.484 0.484 0.852
0.983 0.983 0.351
0.016 0.016 0.649
0.517 0.517 0.149
0.856 0.856 0.642
0.357 0.357 0.144
0.644 0.644 0.857
0.143 0.143 0.357
0.250 0.250 0.750
0.750 0.750 0.250
0.205 0.205 0.931
0.705 0.705 0.432
0.295 0.295 0.567
0.795 0.795 0.069
0.431 0.431 0.704
0.931 0.931 0.205
0.069 0.069 0.796
0.569 0.569 0.295
```

Output
Formation energy in eV/atom: -0.394
Symmetry: Cm, No. 8
Raw total energy in eV per atom: -4.37